Record 1
A plane-wave DFT calculation with GGA-PBE was carried out for crystalline LiCdInO3 at its relaxed geometry.

CIF file:
```
data_LiCdInO3
_cell_length_a 5.991
_cell_length_b 3.222
_cell_length_c 7.819
_cell_angle_alpha 90.00
_cell_angle_beta 94.67
_cell_angle_gamma 90.00
_symmetry_space_group_name_H-M 'P 1 21/m 1'
_symmetry_Int_Tables_number 11
_symmetry_space_group_name_Hall '-P 2yb'
loop_
_atom_site_label
_atom_site_type_symbol
_atom_site_fract_x
_atom_site_fract_y
_atom_site_fract_z
Li1 Li 0.203 0.250 0.020
Cd1 Cd 0.413 0.750 0.707
In1 In 0.082 0.750 0.326
O1 O 0.079 0.750 0.833
O2 O 0.216 0.250 0.511
O3 O 0.364 0.750 0.175
```

Summary:
Crystal system: monoclinic
Raw formation energy, eV/atom: -1.45

Record 2
A plane-wave DFT calculation with GGA-PBE was carried out for crystalline Li2CdInO4 at its relaxed geometry.

CIF file:
```
data_Li2CdInO4
_cell_length_a 5.403
_cell_length_b 3.224
_cell_length_c 5.621
_cell_angle_alpha 90.00
_cell_angle_beta 110.64
_cell_angle_gamma 90.00
_symmetry_space_group_name_H-M 'P 1 2/m 1'
_symmetry_Int_Tables_number 10
_symmetry_space_group_name_Hall '-P 2y'
loop_
_atom_site_label
_atom_site_type_symbol
_atom_site_fract_x
_atom_site_fract_y
_atom_site_fract_z
Li1 Li 0.000 0.000 0.000
Li2 Li 0.000 0.500 0.500
Cd1 Cd 0.500 0.000 0.500
In1 In 0.500 0.500 0.000
O1 O 0.246 0.500 0.236
O2 O 0.255 0.000 0.758
```

Summary:
D(E_F), states/eV/cell: 3.2
Crystal system: monoclinic
Raw formation energy, eV/atom: -1.37

Record 3
A plane-wave DFT calculation with GGA-PBE was carried out for crystalline LiPaCdIn at its relaxed geometry.

CIF file:
```
data_LiPaCdIn
_cell_length_a 7.251
_cell_length_b 7.251
_cell_length_c 7.251
_cell_angle_alpha 90.00
_cell_angle_beta 90.00
_cell_angle_gamma 90.00
_symmetry_space_group_name_H-M 'F -4 3 m'
_symmetry_Int_Tables_number 216
_symmetry_space_group_name_Hall 'F -4 2 3'
loop_
_atom_site_label
_atom_site_type_symbol
_atom_site_fract_x
_atom_site_fract_y
_atom_site_fract_z
Li1 Li 0.000 0.000 0.000
Pa1 Pa 0.000 0.000 0.500
Cd1 Cd 0.250 0.250 0.750
In1 In 0.250 0.250 0.250
```

Summary:
D(E_F), states/eV/cell: 21.8
Crystal system: cubic
Energy of formation, eV per formula unit: 0.37

Record 4
A plane-wave DFT calculation with GGA-PBE was carried out for crystalline LiCdIn2Pb4 at its relaxed geometry.

CIF file:
```
data_LiCdIn2Pb4
_cell_length_a 6.738
_cell_length_b 6.753
_cell_length_c 6.779
_cell_angle_alpha 118.45
_cell_angle_beta 119.59
_cell_angle_gamma 90.80
_symmetry_space_group_name_H-M 'P 1'
_symmetry_Int_Tables_number 1
_symmetry_space_group_name_Hall 'P 1'
loop_
_atom_site_label
_atom_site_type_symbol
_atom_site_fract_x
_atom_site_fract_y
_atom_site_fract_z
Li1 Li 0.000 0.000 0.000
Cd1 Cd 0.495 0.496 0.991
In1 In 0.001 0.495 0.496
In2 In 0.494 0.000 0.494
Pb1 Pb 0.499 0.999 0.996
Pb2 Pb 0.502 0.502 0.495
Pb3 Pb 0.994 0.994 0.496
Pb4 Pb 0.997 0.498 0.996
```

Summary:
D(E_F), states/eV/cell: 2.7
Crystal system: triclinic
Energy of formation, eV per formula unit: -0.29

Record 5
A plane-wave DFT calculation with GGA-PBE was carried out for crystalline Li4CdIn2Pb2 at its relaxed geometry.

CIF file:
```
data_Li4CdIn2Pb2
_cell_length_a 6.697
_cell_length_b 6.697
_cell_length_c 9.381
_cell_angle_alpha 90.00
_cell_angle_beta 90.00
_cell_angle_gamma 90.00
_symmetry_space_group_name_H-M 'I 4/m m m'
_symmetry_Int_Tables_number 139
_symmetry_space_group_name_Hall '-I 4 2'
loop_
_atom_site_label
_atom_site_type_symbol
_atom_site_fract_x
_atom_site_fract_y
_atom_site_fract_z
Li1 Li 0.221 0.221 0.000
Cd1 Cd 0.000 0.000 0.500
In1 In 0.000 0.000 0.208
Pb1 Pb 0.000 0.500 0.250
```

Summary:
D(E_F), states/eV/cell: 10.0
Crystal system: tetragonal
Energy of formation, eV per formula unit: -0.95

Record 6
A plane-wave DFT calculation with GGA-PBE was carried out for crystalline Li2CdIn5Pb at its relaxed geometry.

CIF file:
```
data_Li2CdIn5Pb
_cell_length_a 7.004
_cell_length_b 7.004
_cell_length_c 9.018
_cell_angle_alpha 90.00
_cell_angle_beta 90.00
_cell_angle_gamma 90.00
_symmetry_space_group_name_H-M 'P 4/m b m'
_symmetry_Int_Tables_number 127
_symmetry_space_group_name_Hall '-P 4 2ab'
loop_
_atom_site_label
_atom_site_type_symbol
_atom_site_fract_x
_atom_site_fract_y
_atom_site_fract_z
Li1 Li 0.132 0.368 0.000
Cd1 Cd 0.000 0.500 0.500
In1 In 0.000 0.000 0.000
In2 In 0.181 0.681 0.240
Pb1 Pb 0.000 0.000 0.500
```

Summary:
D(E_F), states/eV/cell: 9.6
Crystal system: tetragonal
Energy of formation, eV per formula unit: -0.27

Record 7
A plane-wave DFT calculation with GGA-PBE was carried out for crystalline LiCdInPb at its relaxed geometry.

CIF file:
```
data_LiCdInPb
_cell_length_a 4.321
_cell_length_b 4.537
_cell_length_c 4.922
_cell_angle_alpha 90.00
_cell_angle_beta 90.00
_cell_angle_gamma 90.00
_symmetry_space_group_name_H-M 'P m m m'
_symmetry_Int_Tables_number 47
_symmetry_space_group_name_Hall '-P 2 2'
loop_
_atom_site_label
_atom_site_type_symbol
_atom_site_fract_x
_atom_site_fract_y
_atom_site_fract_z
Li1 Li 0.000 0.000 0.000
Cd1 Cd 0.000 0.500 0.500
In1 In 0.500 0.000 0.500
Pb1 Pb 0.500 0.500 0.000
```

Summary:
D(E_F), states/eV/cell: 1.4
ΔE to the lowest computed polymorph, eV per atom: 0.000
Crystal system: orthorhombic
Energy of formation, eV per formula unit: -0.47

Record 8
A plane-wave DFT calculation with GGA-PBE was carried out for crystalline LiCdInPb at its relaxed geometry.

CIF file:
```
data_LiCdInPb
_cell_length_a 7.301
_cell_length_b 7.301
_cell_length_c 7.301
_cell_angle_alpha 90.00
_cell_angle_beta 90.00
_cell_angle_gamma 90.00
_symmetry_space_group_name_H-M 'F -4 3 m'
_symmetry_Int_Tables_number 216
_symmetry_space_group_name_Hall 'F -4 2 3'
loop_
_atom_site_label
_atom_site_type_symbol
_atom_site_fract_x
_atom_site_fract_y
_atom_site_fract_z
Li1 Li 0.000 0.000 0.000
Cd1 Cd 0.000 0.000 0.500
In1 In 0.250 0.250 0.250
Pb1 Pb 0.250 0.250 0.750
```

Summary:
D(E_F), states/eV/cell: 7.4
ΔE to the lowest computed polymorph, eV per atom: 0.024
Crystal system: cubic
Energy of formation, eV per formula unit: -0.37